Computed, not measured: a crystal of Sc2IrPb relaxed with PBEsol at the meta-GGA SCAN level of DFT.

Output
The value obtained for the total energy is -1.629 Ha/atom. For the density of states at the Fermi level, the calculation gives 1.8 states/eV/f.u. Its formation energy is -0.499 eV/atom. The mass density comes out at 9.714 g/cm3.

The structure in POSCAR format:
```
Sc2IrPb
1.0
3.228 0.000 0.000
0.000 4.323 0.000
0.000 0.000 5.993
Sc Ir Pb
2 1 1
direct
0.000 0.000 0.000
0.500 0.500 0.303
0.000 0.000 0.414
0.500 0.500 0.782
```